No. 1
Density functional theory data (PBE-GGA) for MgAl3Pd6 after structural relaxation.

Computed properties:
ρ (g/cm³): 8.22
Formation energy from the elements (kcal/mol of atoms): -18.5
DOS(E_F) (states/eV/atom): 0.34
E (eV per atom): -5.20

Unit cell a=4.155 b=8.091 c=9.018 alpha=97.67 beta=90.00 gamma=90.00
Sites, in units of the cell vectors:
Mg 0.250 0.943 0.610
Mg 0.750 0.057 0.390
Al 0.250 0.548 0.396
Al 0.750 0.452 0.604
Al 0.250 0.350 0.810
Al 0.750 0.650 0.190
Al 0.250 0.761 0.971
Al 0.750 0.239 0.029
Pd 0.250 0.464 0.100
Pd 0.750 0.536 0.900
Pd 0.250 0.152 0.212
Pd 0.750 0.848 0.788
Pd 0.250 0.621 0.689
Pd 0.750 0.379 0.311
Pd 0.250 0.272 0.520
Pd 0.750 0.728 0.480
Pd 0.250 0.822 0.278
Pd 0.750 0.178 0.722
Pd 0.250 0.070 0.910
Pd 0.750 0.930 0.090

No. 2
Density functional theory data (PBE-GGA) for Sc2TiZnAs after structural relaxation.

Computed properties:
ρ (g/cm³): 4.06
Formation energy from the elements (kcal/mol of atoms): 4.2
DOS(E_F) (states/eV/atom): 1.20
E (eV per atom): -5.11

Unit cell a=4.918 b=4.698 c=4.918 alpha=90.00 beta=90.00 gamma=90.00
Last column: magnetic moment on the atom in μB.
Sites, in units of the cell vectors:
Sc 0.000 0.000 0.500  0.02
Sc 0.500 0.000 0.000  -0.01
As 0.500 0.500 0.500  -0.02
Zn 0.000 0.000 0.000  -0.01
Ti 0.000 0.500 0.000  0.67

No. 3
Density functional theory data (PBE-GGA) for Rb2ScIrPd after structural relaxation.

Computed properties:
ρ (g/cm³): 4.00
Formation energy from the elements (kcal/mol of atoms): 21.2
DOS(E_F) (states/eV/atom): 0.45
E (eV per atom): -3.55

Unit cell a=6.808 b=4.611 c=6.808 alpha=90.00 beta=90.00 gamma=90.00
Sites, in units of the cell vectors:
Sc 0.000 0.000 0.000
Ir 0.000 0.500 0.000
Rb 0.000 0.000 0.500
Rb 0.500 0.000 0.000
Pd 0.500 0.500 0.500

No. 4
Density functional theory data (PBE-GGA) for PmAsPd3 after structural relaxation.

Computed properties:
ρ (g/cm³): 7.97
Formation energy from the elements (kcal/mol of atoms): -11.3
Energy relative to the lowest polymorph listed for this composition (meV/atom): 42
DOS(E_F) (states/eV/atom): 0.38
E (eV per atom): -5.49

Unit cell a=5.262 b=5.262 c=8.929 alpha=107.14 beta=107.14 gamma=90.00
Sites, in units of the cell vectors:
Pm 0.595 0.095 0.190
Pm 0.905 0.405 0.810
As 0.000 0.000 0.000
As 0.250 0.750 0.500
Pd 0.620 0.875 0.750
Pd 0.125 0.869 0.250
Pd 0.125 0.380 0.250
Pd 0.131 0.875 0.750
Pd 0.299 0.299 0.598
Pd 0.701 0.701 0.402

> Which of these has the lowest ρ?

Rb2ScIrPd